Here is crystalline LaPmGa3 at its relaxed geometry from the Open Quantum Materials Database. Energies are from GGA-PBE.

Output
Total magnetization (μB per formula unit): 0.0

The structure in extended XYZ format:
```
10
Lattice="2.217 -13.112 0.000 2.217 13.112 0.000 0.000 0.000 4.264" Properties=species:S:1:pos:R:3 pbc="T T T"
Ga 2.217 -3.137 3.198
Ga 2.217 -4.583 1.066
Ga 2.217 0.627 1.066
Ga 2.217 3.137 1.066
Ga 2.217 -0.627 3.198
Ga 2.217 4.583 3.198
Pm 2.217 -7.785 1.066
Pm 2.217 7.785 3.198
La 2.217 -11.191 3.198
La 2.217 11.191 1.066
```

Here is crystalline CsRb3P2Au2 at its relaxed geometry from the Open Quantum Materials Database. Energies are from GGA-PBE.

The structure in extended XYZ format:
```
8
Lattice="-5.277 -2.487 -2.836 3.897 -2.930 -4.681 2.162 -4.216 4.439" Properties=species:S:1:pos:R:3 pbc="T T T"
Cs 3.291 -4.404 0.616
Rb -1.578 -3.256 -4.155
Rb 0.416 -4.921 3.426
Rb -4.459 -3.777 -1.347
P -2.264 -4.887 1.174
P 1.069 -3.269 -1.944
Au -0.574 -4.075 -0.357
Au 1.383 -5.546 -2.707
```

Here is crystalline PmTc4P2 at its relaxed geometry from the Open Quantum Materials Database. Energies are from GGA-PBE.

Output
Total magnetization (μB per formula unit): 0.0

The structure in extended XYZ format:
```
7
Lattice="-3.647 5.382 2.977 -0.144 -5.612 -4.429 -1.030 -2.396 3.069" Properties=species:S:1:pos:R:3 pbc="T T T"
P -2.721 -0.341 1.463
P -2.101 -2.284 0.154
Tc -2.569 1.999 0.698
Tc -1.305 -4.783 -1.529
Tc -3.517 2.157 3.146
Tc -1.222 -2.229 -2.150
Pm 0.000 0.000 0.000
```

Here is crystalline Pm4SiCl5 at its relaxed geometry from the Open Quantum Materials Database. Energies are from GGA-PBE.

Output
Total magnetization (μB per formula unit): 0.0

The structure in extended XYZ format:
```
10
Lattice="9.029 -2.030 0.000 9.029 2.030 0.000 -2.068 0.000 8.062" Properties=species:S:1:pos:R:3 pbc="T T T"
Cl 2.315 0.000 2.659
Cl 13.676 0.000 5.403
Cl 14.676 0.000 1.155
Cl 7.995 0.000 4.031
Cl 1.315 0.000 6.907
Pm 11.648 0.000 0.741
Pm -0.479 0.000 1.875
Pm 4.343 0.000 7.321
Pm 16.469 0.000 6.187
Si 9.029 0.000 0.000
```

Here is crystalline La3In3Pd2Pt at its relaxed geometry from the Open Quantum Materials Database. Energies are from GGA-PBE.

Output
Total magnetization (μB per formula unit): 0.0

The structure in extended XYZ format:
```
9
Lattice="-6.619 -3.646 -1.779 6.443 -1.436 -4.086 0.994 -3.099 2.656" Properties=species:S:1:pos:R:3 pbc="T T T"
In 1.600 -0.357 -1.015
In -1.643 -0.905 -0.442
In -0.132 -3.821 -4.409
La 4.300 -2.397 -1.084
La 0.425 -3.632 -1.075
La -3.411 -3.702 0.277
Pt 0.497 -1.550 1.328
Pd 2.089 -2.173 -3.317
Pd -2.265 -2.910 -2.548
```

Here is crystalline ZnNiSnPd at its relaxed geometry from the Open Quantum Materials Database. Energies are from GGA-PBE.

Output
Total magnetization (μB per formula unit): 0.0

The structure in extended XYZ format:
```
4
Lattice="2.275 -2.207 3.080 -1.568 -3.810 1.599 1.987 -3.812 -1.028" Properties=species:S:1:pos:R:3 pbc="T T T"
Ni 2.021 -7.372 2.738
Zn 1.347 -4.915 1.825
Pd 0.674 -2.457 0.913
Sn 0.000 0.000 0.000
```

Respective raw total energy values: -4.42; -3.08; -8.85; -5.11; -5.24; -4.32 eV per atom.